No. 1
BaLiNdSe3 | PBE | optimized geometry

## Properties
Calculated total energy (eV per atom): -5.00
Total moment (Bohr magnetons per cell): 0.0

The structure in CIF format:
```
data_BaLiNdSe3
_chemical_formula_sum 'Ba4 Li4 Nd4 Se12'
_cell_length_a 4.3389
_cell_length_b 14.1295
_cell_length_c 11.0717
_cell_angle_alpha 90.00
_cell_angle_beta 90.00
_cell_angle_gamma 90.00
_space_group_name_H-M_alt 'C m c m'
_space_group_IT_number 63
_space_group_name_Hall '-C 2c 2'
loop_
_atom_site_label
_atom_site_fract_x
_atom_site_fract_y
_atom_site_fract_z
Ba1 0.0000 0.2474 0.2500
Li1 0.0000 0.0283 0.7500
Nd1 0.0000 0.5000 0.0000
Se1 0.0000 0.1356 0.5658
Se2 0.0000 0.4286 0.7500
```

---

No. 2
BaLi2Ni | PBE | optimized geometry

## Properties
Calculated total energy (eV per atom): -2.57
Total moment (Bohr magnetons per cell): 0.1

The structure in CIF format:
```
data_BaLi2Ni
_chemical_formula_sum 'Ba4 Li8 Ni4'
_cell_length_a 7.2235
_cell_length_b 7.2235
_cell_length_c 7.2235
_cell_angle_alpha 90.00
_cell_angle_beta 90.00
_cell_angle_gamma 90.00
_space_group_name_H-M_alt 'F -4 3 m'
_space_group_IT_number 216
_space_group_name_Hall 'F -4 2 3'
loop_
_atom_site_label
_atom_site_fract_x
_atom_site_fract_y
_atom_site_fract_z
Ba1 0.0000 0.0000 0.0000
Li1 0.0000 0.0000 0.5000
Li2 0.2500 0.2500 0.7500
Ni1 0.2500 0.2500 0.2500
```

---

No. 3
BaLiNiP2 | PBE | optimized geometry

## Properties
Calculated total energy (eV per atom): -4.02
Total moment (Bohr magnetons per cell): 0.0

The structure in CIF format:
```
data_BaLiNiP2
_chemical_formula_sum 'Ba2 Li2 Ni2 P4'
_cell_length_a 4.2259
_cell_length_b 4.2259
_cell_length_c 12.8031
_cell_angle_alpha 90.00
_cell_angle_beta 90.00
_cell_angle_gamma 90.00
_space_group_name_H-M_alt 'I -4 m 2'
_space_group_IT_number 119
_space_group_name_Hall 'I -4 -2'
loop_
_atom_site_label
_atom_site_fract_x
_atom_site_fract_y
_atom_site_fract_z
Ba1 0.0000 0.0000 0.0000
Li1 0.0000 0.5000 0.2500
Ni1 0.0000 0.0000 0.5000
P1 0.0000 0.5000 0.6682
```

---

No. 4
BaLiNiSb | PBE | optimized geometry

## Properties
Energy relative to the lowest polymorph listed for this composition (eV/atom): 0.0000
Calculated total energy (eV per atom): -3.68
Total moment (Bohr magnetons per cell): 0.0

The structure in CIF format:
```
data_BaLiNiSb
_chemical_formula_sum 'Ba4 Li4 Ni4 Sb4'
_cell_length_a 7.1142
_cell_length_b 7.1142
_cell_length_c 7.1142
_cell_angle_alpha 90.00
_cell_angle_beta 90.00
_cell_angle_gamma 90.00
_space_group_name_H-M_alt 'F -4 3 m'
_space_group_IT_number 216
_space_group_name_Hall 'F -4 2 3'
loop_
_atom_site_label
_atom_site_fract_x
_atom_site_fract_y
_atom_site_fract_z
Ba1 0.0000 0.0000 0.0000
Li1 0.2500 0.2500 0.7500
Ni1 0.2500 0.2500 0.2500
Sb1 0.0000 0.0000 0.5000
```

---

No. 5
BaLiNiSb | PBE | optimized geometry

## Properties
Energy relative to the lowest polymorph listed for this composition (eV/atom): 0.2961
Calculated total energy (eV per atom): -3.38
Total moment (Bohr magnetons per cell): 3.1

The structure in CIF format:
```
data_BaLiNiSb
_chemical_formula_sum 'Ba4 Li4 Ni4 Sb4'
_cell_length_a 7.5273
_cell_length_b 7.5273
_cell_length_c 7.5273
_cell_angle_alpha 90.00
_cell_angle_beta 90.00
_cell_angle_gamma 90.00
_space_group_name_H-M_alt 'F -4 3 m'
_space_group_IT_number 216
_space_group_name_Hall 'F -4 2 3'
loop_
_atom_site_label
_atom_site_fract_x
_atom_site_fract_y
_atom_site_fract_z
Ba1 0.0000 0.0000 0.0000
Li1 0.0000 0.0000 0.5000
Ni1 0.2500 0.2500 0.7500
Sb1 0.2500 0.2500 0.2500
```

---

No. 6
BaLiNiSb | PBE | optimized geometry

## Properties
Energy relative to the lowest polymorph listed for this composition (eV/atom): 0.2433
Calculated total energy (eV per atom): -3.44
Total moment (Bohr magnetons per cell): 0.0

The structure in CIF format:
```
data_BaLiNiSb
_chemical_formula_sum 'Ba4 Li4 Ni4 Sb4'
_cell_length_a 7.2779
_cell_length_b 7.2779
_cell_length_c 7.2779
_cell_angle_alpha 90.00
_cell_angle_beta 90.00
_cell_angle_gamma 90.00
_space_group_name_H-M_alt 'F -4 3 m'
_space_group_IT_number 216
_space_group_name_Hall 'F -4 2 3'
loop_
_atom_site_label
_atom_site_fract_x
_atom_site_fract_y
_atom_site_fract_z
Ba1 0.0000 0.0000 0.0000
Li1 0.2500 0.2500 0.2500
Ni1 0.0000 0.0000 0.5000
Sb1 0.2500 0.2500 0.7500
```

---

No. 7
BaLiTaNi | PBE | optimized geometry

## Properties
Energy relative to the lowest polymorph listed for this composition (eV/atom): 0.3329
Calculated total energy (eV per atom): -4.14
Total moment (Bohr magnetons per cell): 0.0

The structure in CIF format:
```
data_BaLiTaNi
_chemical_formula_sum 'Ba4 Li4 Ta4 Ni4'
_cell_length_a 6.8451
_cell_length_b 6.8451
_cell_length_c 6.8451
_cell_angle_alpha 90.00
_cell_angle_beta 90.00
_cell_angle_gamma 90.00
_space_group_name_H-M_alt 'F -4 3 m'
_space_group_IT_number 216
_space_group_name_Hall 'F -4 2 3'
loop_
_atom_site_label
_atom_site_fract_x
_atom_site_fract_y
_atom_site_fract_z
Ba1 0.0000 0.0000 0.0000
Li1 0.0000 0.0000 0.5000
Ta1 0.2500 0.2500 0.2500
Ni1 0.2500 0.2500 0.7500
```

---

No. 8
BaLiTaNi | PBE | optimized geometry

## Properties
Energy relative to the lowest polymorph listed for this composition (eV/atom): 0.0467
Calculated total energy (eV per atom): -4.42
Total moment (Bohr magnetons per cell): 7.5

The structure in CIF format:
```
data_BaLiTaNi
_chemical_formula_sum 'Ba4 Li4 Ta4 Ni4'
_cell_length_a 6.9646
_cell_length_b 6.9646
_cell_length_c 6.9646
_cell_angle_alpha 90.00
_cell_angle_beta 90.00
_cell_angle_gamma 90.00
_space_group_name_H-M_alt 'F -4 3 m'
_space_group_IT_number 216
_space_group_name_Hall 'F -4 2 3'
loop_
_atom_site_label
_atom_site_fract_x
_atom_site_fract_y
_atom_site_fract_z
Ba1 0.0000 0.0000 0.0000
Li1 0.2500 0.2500 0.7500
Ta1 0.0000 0.0000 0.5000
Ni1 0.2500 0.2500 0.2500
```

---

No. 9
BaLiTaNi | PBE | optimized geometry

## Properties
Energy relative to the lowest polymorph listed for this composition (eV/atom): 0.0000
Calculated total energy (eV per atom): -4.47
Total moment (Bohr magnetons per cell): 0.0

The structure in CIF format:
```
data_BaLiTaNi
_chemical_formula_sum 'Ba4 Li4 Ta4 Ni4'
_cell_length_a 6.7761
_cell_length_b 6.7761
_cell_length_c 6.7761
_cell_angle_alpha 90.00
_cell_angle_beta 90.00
_cell_angle_gamma 90.00
_space_group_name_H-M_alt 'F -4 3 m'
_space_group_IT_number 216
_space_group_name_Hall 'F -4 2 3'
loop_
_atom_site_label
_atom_site_fract_x
_atom_site_fract_y
_atom_site_fract_z
Ba1 0.0000 0.0000 0.0000
Li1 0.2500 0.2500 0.2500
Ta1 0.2500 0.2500 0.7500
Ni1 0.0000 0.0000 0.5000
```

---

No. 10
BaLiNp | PBE | optimized geometry

## Properties
Calculated total energy (eV per atom): -4.46
Total moment (Bohr magnetons per cell): 23.2

The structure in CIF format:
```
data_BaLiNp
_chemical_formula_sum 'Ba4 Li4 Np4'
_cell_length_a 7.5979
_cell_length_b 7.5979
_cell_length_c 7.5979
_cell_angle_alpha 90.00
_cell_angle_beta 90.00
_cell_angle_gamma 90.00
_space_group_name_H-M_alt 'F -4 3 m'
_space_group_IT_number 216
_space_group_name_Hall 'F -4 2 3'
loop_
_atom_site_label
_atom_site_fract_x
_atom_site_fract_y
_atom_site_fract_z
Ba1 0.0000 0.0000 0.0000
Li1 0.2500 0.2500 0.2500
Np1 0.0000 0.0000 0.5000
```

---

No. 11
BaLiNpTe3 | PBE | optimized geometry

## Properties
Calculated total energy (eV per atom): -5.50
Total moment (Bohr magnetons per cell): 16.0

The structure in CIF format:
```
data_BaLiNpTe3
_chemical_formula_sum 'Ba4 Li4 Np4 Te12'
_cell_length_a 4.6068
_cell_length_b 14.8941
_cell_length_c 11.6783
_cell_angle_alpha 90.00
_cell_angle_beta 90.00
_cell_angle_gamma 90.00
_space_group_name_H-M_alt 'C m c m'
_space_group_IT_number 63
_space_group_name_Hall '-C 2c 2'
loop_
_atom_site_label
_atom_site_fract_x
_atom_site_fract_y
_atom_site_fract_z
Ba1 0.0000 0.2504 0.2500
Li1 0.0000 0.0273 0.7500
Np1 0.0000 0.5000 0.0000
Te1 0.0000 0.1369 0.5606
Te2 0.0000 0.4265 0.7500
```

---

No. 12
Ba3LiOs2O9 | PBE | optimized geometry

## Properties
Calculated total energy (eV per atom): -6.92
Total moment (Bohr magnetons per cell): 6.0

The structure in CIF format:
```
data_Ba3LiOs2O9
_chemical_formula_sum 'Ba6 Li2 Os4 O18'
_cell_length_a 5.8031
_cell_length_b 5.8031
_cell_length_c 14.0662
_cell_angle_alpha 90.00
_cell_angle_beta 90.00
_cell_angle_gamma 120.00
_space_group_name_H-M_alt 'P 63/m m c'
_space_group_IT_number 194
_space_group_name_Hall '-P 6c 2c'
loop_
_atom_site_label
_atom_site_fract_x
_atom_site_fract_y
_atom_site_fract_z
Ba1 0.0000 0.0000 0.2500
Ba2 0.3333 0.6667 0.0869
Li1 0.0000 0.0000 0.0000
Os1 0.3333 0.6667 0.6596
O1 0.0110 0.5055 0.7500
O2 0.1749 0.3497 0.5865
```